Record 1
8
Lattice="-3.5253 3.5253 4.1592 3.5253 -3.5253 4.1592 3.5253 3.5253 -4.1592" Properties=species:S:1:pos:R:3 comment="PBE-GGA La2MoN, optimized geometry" e_form_raw_ev_per_atom=0.1677 vol_a3_per_atom=25.844 dft_energy_ev_per_atom=-7.085 pbc="T T T"
La 5.2879 1.1934 -1.0398
La 1.1934 1.7626 1.0398
La -1.7626 2.3319 3.1194
La 2.3319 1.7626 5.1990
Mo 3.5253 0.0000 2.0796
Mo 0.0000 0.0000 4.1592
N 0.0000 0.0000 0.0000
N 0.0000 3.5253 2.0796

=====

Record 2
80
Lattice="-6.5539 6.5539 6.5539 6.5539 -6.5539 6.5539 6.5539 6.5539 -6.5539" Properties=species:S:1:pos:R:3 comment="PBE-GGA La3Mo5N12, optimized geometry" e_form_raw_ev_per_atom=-0.7205 vol_a3_per_atom=14.076 dft_energy_ev_per_atom=-9.163 pbc="T T T"
La 3.2770 1.6385 0.0000
La 6.5539 3.2770 -1.6385
La 1.6385 0.0000 3.2770
La 8.1924 0.0000 3.2770
La 0.0000 3.2770 1.6385
La 3.2770 -1.6385 6.5539
La 3.2770 8.1924 0.0000
La 6.5539 3.2770 4.9154
La -1.6385 6.5539 3.2770
La 4.9154 6.5539 3.2770
La 0.0000 3.2770 8.1924
La 3.2770 4.9154 6.5539
Mo 0.0000 0.0000 0.0000
Mo 3.2770 3.2770 -3.2770
Mo 3.2770 -3.2770 3.2770
Mo 6.5539 0.0000 0.0000
Mo 9.8309 1.6385 0.0000
Mo 6.5539 -3.2770 4.9154
Mo 4.9154 6.5539 -3.2770
Mo 4.9154 0.0000 3.2770
Mo 3.2770 4.9154 0.0000
Mo 6.5539 3.2770 1.6385
Mo -3.2770 3.2770 3.2770
Mo 0.0000 6.5539 0.0000
Mo 0.0000 0.0000 6.5539
Mo 3.2770 3.2770 3.2770
Mo 0.0000 3.2770 4.9154
Mo 3.2770 1.6385 6.5539
Mo 1.6385 6.5539 3.2770
Mo 1.6385 0.0000 9.8309
Mo 0.0000 9.8309 1.6385
Mo -3.2770 4.9154 6.5539
N 1.9402 -0.4469 0.5851
N 7.8907 3.8621 -3.7239
N 8.4941 0.4469 0.5851
N 7.8907 -2.6919 3.7239
N 6.1070 -0.5851 1.9402
N 10.2778 -1.3368 2.6919
N 0.5851 1.9402 -0.4469
N 9.2458 2.8300 -1.3368
N 3.8621 3.7239 -1.3368
N 5.9688 1.9402 0.4469
N -0.4469 0.5851 1.9402
N 3.7239 -1.3368 3.8621
N 6.1070 5.9688 -1.9402
N 3.7239 1.3368 2.6919
N 3.8621 -3.7239 7.8907
N 5.9688 -1.9402 6.1070
N 2.6919 3.7239 1.3368
N 7.1390 4.6137 0.4469
N 3.7239 7.8907 -2.6919
N 6.1070 0.5851 4.6137
N 1.9402 6.1070 -0.5851
N 7.8907 2.6919 2.8300
N 1.3368 2.6919 3.7239
N 1.9402 0.4469 5.9688
N 4.6137 6.1070 0.5851
N 5.2172 3.8621 2.8300
N -1.3368 3.8621 3.7239
N 4.6137 0.4469 7.1390
N 0.4469 5.9688 1.9402
N 2.8300 -1.3368 9.2458
N -0.5851 1.9402 6.1070
N 3.8621 2.8300 5.2172
N 0.5851 8.4941 0.4469
N 2.6919 10.2778 -1.3368
N 2.8300 5.2172 3.8621
N 0.4469 0.5851 8.4941
N 2.8300 7.8907 2.6919
N 7.0009 5.9688 4.6137
N 0.5851 4.6137 6.1070
N 2.6919 2.8300 7.8907
N -2.6919 3.7239 7.8907
N 5.9688 4.6137 7.0009
N -3.7239 7.8907 3.8621
N 0.4469 7.1390 4.6137
N -1.3368 9.2458 2.8300
N -1.9402 6.1070 5.9688
N -1.3368 2.6919 10.2778
N 4.6137 7.0009 5.9688

=====

Record 3
4
Lattice="1.8603 1.0740 6.2629 -1.8603 1.0740 6.2629 0.0000 -2.1480 6.2629" Properties=species:S:1:pos:R:3 comment="PBE-GGA LaMoN2, optimized geometry" e_form_raw_ev_per_atom=-0.3357 vol_a3_per_atom=18.769 dft_energy_ev_per_atom=-8.438 pbc="T T T"
La 0.0000 0.0000 0.0000
Mo 0.0000 0.0000 9.3943
N 0.0000 0.0000 7.5158
N 0.0000 0.0000 11.2729

=====

Record 4
14
Lattice="6.0062 0.0000 0.0000 0.0000 6.0085 0.0000 -2.3630 0.0000 6.7083" Properties=species:S:1:pos:R:3 comment="PBE-GGA La2MoN4, optimized geometry" e_form_raw_ev_per_atom=-1.0546 vol_a3_per_atom=17.292 dft_energy_ev_per_atom=-8.767 pbc="T T T"
La 1.0460 1.5021 0.1442
La 0.3275 1.5021 3.7583
La 3.3157 4.5064 2.9501
La 2.5972 4.5064 6.5642
Mo -0.3326 4.5064 5.3809
Mo 3.9758 1.5021 1.3274
N -1.4500 3.0500 4.9589
N -1.4500 5.9627 4.9589
N 2.4552 4.5064 0.4764
N 1.2752 4.5064 4.4238
N 2.3681 1.5021 2.2846
N 1.1880 1.5021 6.2320
N 5.0932 0.0458 1.7495
N 5.0932 2.9585 1.7495

=====

Record 5
8
Lattice="-2.5232 2.5232 5.2437 2.5232 -2.5232 5.2437 2.5232 2.5232 -5.2437" Properties=species:S:1:pos:R:3 comment="PBE-GGA LaMoN2, optimized geometry" e_form_raw_ev_per_atom=-0.6377 vol_a3_per_atom=16.693 dft_energy_ev_per_atom=-8.740 pbc="T T T"
La 0.0000 0.0000 0.0000
La 0.0000 2.5232 2.6218
Mo 2.5232 0.0000 2.6218
Mo 0.0000 0.0000 5.2437
N 1.2616 -0.7878 3.9328
N 1.7354 1.2616 1.3109
N 1.2616 3.3111 -1.3109
N 0.7878 1.2616 6.5546

=====

Record 6
16
Lattice="7.8224 0.0000 0.0000 0.0000 7.0992 0.0000 0.0000 0.0000 5.4744" Properties=species:S:1:pos:R:3 comment="PBE-GGA La3MoN4, optimized geometry" e_form_raw_ev_per_atom=-1.0125 vol_a3_per_atom=19.000 dft_energy_ev_per_atom=-8.377 pbc="T T T"
La 0.0000 1.0155 0.0000
La 1.9065 2.4383 2.7864
La 2.0047 4.6609 0.0492
La 3.9112 6.0837 2.7372
La 5.8177 4.6609 0.0492
La 5.9159 2.4383 2.7864
Mo 0.0000 5.8777 2.4498
Mo 3.9112 1.2215 5.1870
N 0.0000 0.7432 2.6775
N 0.0000 5.8274 0.5164
N 1.6752 4.9675 2.7517
N 2.2360 2.1316 0.0145
N 3.9112 1.2718 3.2536
N 3.9112 6.3559 5.4147
N 5.5864 2.1316 0.0145
N 6.1472 4.9675 2.7517

=====

Record 7
9
Lattice="4.0380 0.0000 0.0000 0.0000 4.0380 0.0000 0.0000 0.0000 7.5989" Properties=species:S:1:pos:R:3 comment="PBE-GGA La2Mo2N5, optimized geometry" e_form_raw_ev_per_atom=-0.9717 vol_a3_per_atom=13.767 dft_energy_ev_per_atom=-9.099 pbc="T T T"
La 0.0000 0.0000 0.0000
La 0.0000 0.0000 3.7995
Mo 2.0190 2.0190 1.8887
Mo 2.0190 2.0190 5.7103
N 0.0000 2.0190 1.7136
N 0.0000 2.0190 5.8853
N 2.0190 0.0000 1.7136
N 2.0190 0.0000 5.8853
N 2.0190 2.0190 3.7995

=====

Record 8
12
Lattice="2.0187 -10.7469 0.0000 2.0187 10.7469 0.0000 0.0000 0.0000 3.9181" Properties=species:S:1:pos:R:3 comment="PBE-GGA La3Mo2N7, optimized geometry" e_form_raw_ev_per_atom=-0.7825 vol_a3_per_atom=14.167 dft_energy_ev_per_atom=-8.676 pbc="T T T"
La 0.0000 0.0000 0.0000
La 2.0187 6.9624 0.0000
La 2.0187 -6.9624 0.0000
Mo 2.0187 2.1071 1.9591
Mo 2.0187 -2.1071 1.9591
N 2.0187 8.7067 1.9591
N 2.0187 4.1023 1.9591
N 2.0187 2.0621 0.0000
N 2.0187 0.0000 1.9591
N 2.0187 -2.0621 0.0000
N 2.0187 -4.1023 1.9591
N 2.0187 -8.7067 1.9591